Density functional theory data (GGA-PBE) for a relaxed structure of AcPmBiI.

Computed properties:
ΔE_f (raw)	-872	meV per atom
crystal system	cubic

abc: 8.0767 8.0767 8.0767
angles: 90.00 90.00 90.00
Space group F-43m (No. 216)
One atom of each set of equivalent atoms:
Ac 0.0000 0.0000 0.0000 (multiplicity 4)
Pm 0.0000 0.0000 0.5000 (multiplicity 4)
Bi 0.2500 0.2500 0.2500 (multiplicity 4)
I 0.2500 0.2500 0.7500 (multiplicity 4)